! AlRu, optimized geometry, DFT PBE-GGA; values from VASP
! - Crystal system: orthorhombic
! - Energy of formation: -0.25 eV/atom
! - Symmetry: Cmcm, No. 63
&SYSTEM
  ibrav = 0, nat = 4, ntyp = 2
/
ATOMIC_SPECIES
Ru 101.07 Ru.upf
Al 26.98 Al.upf
ATOMIC_POSITIONS angstrom
Ru 1.086 1.146 3.220
Ru -0.251 1.559 1.073
Al 3.534 0.390 3.220
Al -2.698 2.315 1.073
CELL_PARAMETERS angstrom
5.025 -0.071 0.000
-4.190 2.776 0.000
0.000 0.000 4.293